The following is a DFT calculation (PBE-GGA) of KCa5Mg5AlSi12O36 after structural relaxation.

Properties
The calculated total energy is -7.3248 eV/atom. As for the magnetization: 0.16 μB per cell. As for the crystal system: monoclinic. The symmetry is C2 (5).

```
KCa5Mg5AlSi12O36
1.0
-5.829 2.885 1.469
-3.215 -2.519 -5.270
-8.055 -12.108 6.584
O Mg Al Ca Si K
36 5 1 5 12 1
direct
0.368 0.324 0.090 O
0.354 0.335 0.751 O
0.399 0.911 0.847 O
0.373 0.329 0.418 O
0.634 0.666 0.416 O
0.885 0.384 0.018 O
0.334 0.366 0.584 O
0.644 0.654 0.084 O
0.946 0.823 0.965 O
0.020 0.201 0.879 O
0.632 0.667 0.747 O
0.114 0.611 0.817 O
0.029 0.203 0.535 O
0.389 0.886 0.183 O
0.177 0.054 0.035 O
0.616 0.115 0.982 O
0.613 0.118 0.645 O
0.799 0.980 0.121 O
0.117 0.610 0.475 O
0.346 0.356 0.916 O
0.807 0.972 0.796 O
0.665 0.646 0.249 O
0.390 0.883 0.525 O
0.333 0.368 0.253 O
0.890 0.387 0.692 O
0.975 0.795 0.630 O
0.205 0.025 0.370 O
0.797 0.971 0.465 O
0.676 0.632 0.910 O
0.202 0.026 0.702 O
0.613 0.110 0.308 O
0.028 0.193 0.204 O
0.974 0.798 0.298 O
0.089 0.601 0.153 O
0.671 0.627 0.582 O
0.882 0.387 0.355 O
0.093 0.903 0.166 Mg
0.908 0.089 0.334 Mg
0.097 0.907 0.834 Mg
0.911 0.092 0.666 Mg
0.095 0.905 0.500 Mg
0.904 0.096 0.000 Al
0.701 0.299 0.500 Ca
0.299 0.698 0.669 Ca
0.705 0.308 0.168 Ca
0.692 0.295 0.832 Ca
0.302 0.701 0.331 Ca
0.623 0.808 0.157 Si
0.625 0.811 0.824 Si
0.382 0.191 0.340 Si
0.804 0.623 0.991 Si
0.378 0.192 0.674 Si
0.192 0.377 0.843 Si
0.189 0.375 0.176 Si
0.621 0.804 0.494 Si
0.196 0.379 0.506 Si
0.808 0.622 0.326 Si
0.809 0.618 0.660 Si
0.377 0.196 0.009 Si
0.305 0.695 0.000 K
```